# Hf3CoRe

An optimized crystal structure of Hf3CoRe (GGA-PBE, Alexandria via LeMat-Bulk).

Density of states at the Fermi level   6.6 states/eV/cell
Total magnetization   0.2677 μB per atom
Total energy   -44.3 eV/cell
Energy relative to the elements   5.098 eV per formula unit
Density   10.4 g cm⁻³
Energy above the lowest structure with this stoichiometry   234.3 kJ/mol of formula units

Unit cell a=4.9888 b=4.9888 c=4.9888 alpha=90.00 beta=90.00 gamma=90.00
Positions (direct):
Hf  0.0000  0.0000  0.5000
Hf  0.0000  0.5000  0.0000
Hf  0.5000  0.0000  0.0000
Co  0.5000  0.5000  0.5000
Re  0.0000  0.0000  0.0000

---

# BaTl2Pb6

An optimized crystal structure of BaTl2Pb6 (GGA-PBE, Alexandria via LeMat-Bulk).

Density of states at the Fermi level   6.1 states/eV/cell
Total magnetization   0.0000 μB per atom
Total energy   -29.6 eV/cell
Energy relative to the elements   -0.674 eV per formula unit
Density   9.9 g cm⁻³
Energy above the lowest structure with this stoichiometry   45.5 kJ/mol of formula units

Unit cell a=9.8135 b=9.8135 c=3.5616 alpha=90.77 beta=90.77 gamma=61.05
Positions (direct):
Ba  0.0000  0.0000  0.0000
Tl  0.3332  0.3332  0.9984
Tl  0.6668  0.6668  0.0016
Pb  0.0017  0.3397  0.4637
Pb  0.3397  0.0017  0.4637
Pb  0.3412  0.6588  0.5000
Pb  0.6588  0.3412  0.5000
Pb  0.6603  0.9983  0.5363
Pb  0.9983  0.6603  0.5363